Material: LiTa2Se
Method: DFT, meta-GGA SCAN
State: PBEsol geometry

The calculation puts the magnetization at 0.0 μB per formula unit. The uncorrected formation energy comes out at 0.63 eV/f.u. Its crystal system is orthorhombic. The total energy is -155.00 eV/cell.

The space group is Pmmm (No. 47) and the conventional cell measures 3.333, 4.363 and 4.451 Å, with angles of 90.00, 90.00 and 90.00 degrees. The asymmetric unit holds Li at (0.000, 0.000, 0.000), Ta at (0.000, 0.500, 0.500), Ta at (0.500, 0.000, 0.500) and Se at (0.500, 0.500, 0.000).

Material: CrOs3
Method: DFT, meta-GGA SCAN
State: PBEsol geometry

The calculation puts the magnetization at 0.0 μB per formula unit. The calculation puts the energy relative to the elements at 0.23 eV/f.u. Its crystal system is hexagonal. The total energy is -233.80 eV/cell.

The space group is P-6m2 (No. 187) and the conventional cell measures 2.7016, 2.7016 and 8.4791 Å, with angles of 90.00, 90.00 and 120.00 degrees. The asymmetric unit holds Cr at (0.0000, 0.0000, 0.0000), Os at (0.0000, 0.0000, 0.5000) and Os at (0.6667, 0.3333, 0.2430).

Material: TaTlCo2
Method: DFT, meta-GGA SCAN
State: PBEsol geometry

As for the polymorph energy (0 for the lowest one): 307.2 meV per atom. The calculation puts the magnetization at 0.8 μB per formula unit. The calculation puts the energy relative to the elements at 1.74 eV/f.u. Its crystal system is tetragonal. The total energy is -171.81 eV/cell.

The space group is P4mm (No. 99) and the conventional cell measures 3.253, 3.253 and 5.723 Å, with angles of 90.00, 90.00 and 90.00 degrees. The asymmetric unit holds Ta at (0.000, 0.000, 0.000), Tl at (0.500, 0.500, 0.357), Co at (0.000, 0.000, 0.596) and Co at (0.500, 0.500, 0.842).

Which value of magnetization does entry 1 give? 0.0 μB per formula unit